w.
The following is a DFT calculation (PBE) of an optimized crystal structure of CuIr3Cl.

Results
Calculated volume, Å³/cell: 97
Space group: Pm-3m, No. 221
N(E_F), states/eV/cell: 6.152

Lattice parameters (Å, degrees): 4.6005 4.6005 4.6005 90.00 90.00 90.00
With the nearest neighbours (Å) after each atom.
Fractional positions:
Ir  0.0000  0.0000  0.5000  2 Cu 2.30
Ir  0.5000  0.0000  0.0000  2 Cu 2.30
Ir  0.0000  0.5000  0.0000  2 Cu 2.30
Cl  0.5000  0.5000  0.5000  12 Ir 3.25
Cu  0.0000  0.0000  0.0000  6 Ir 2.30

---

x.
The following is a DFT calculation (PBE) of an optimized crystal structure of CuIr3Cl.

Results
Calculated volume, Å³/cell: 85
Space group: Pm-3m, No. 221
N(E_F), states/eV/cell: 6.144

Lattice parameters (Å, degrees): 4.3905 4.3905 4.3905 90.00 90.00 90.00
With the nearest neighbours (Å) after each atom.
Fractional positions:
Ir  0.0000  0.0000  0.5000  2 Cl 2.20
Ir  0.0000  0.5000  0.0000  2 Cl 2.20
Ir  0.5000  0.0000  0.0000  2 Cl 2.20
Cu  0.5000  0.5000  0.5000  12 Ir 3.10
Cl  0.0000  0.0000  0.0000  6 Ir 2.20

---

Which is the most stable structure? x is the most stable.

---

w.
The following is a DFT calculation (PBE) of an optimized crystal structure of CuPIrCl2.

Results
Calculated volume, Å³/cell: 113
Space group: P4/mmm, No. 123
N(E_F), states/eV/cell: 1.901

Lattice parameters (Å, degrees): 5.0618 5.0618 4.4004 90.00 90.00 90.00
With the nearest neighbours (Å) after each atom.
Fractional positions:
Ir  0.0000  0.0000  0.0000  2 P 2.20
Cu  0.5000  0.5000  0.5000  8 Cl 3.35, 4 P 3.58
Cl  0.5000  0.0000  0.0000  2 Ir 2.53
Cl  0.0000  0.5000  0.0000  2 Ir 2.53
P  0.0000  0.0000  0.5000  2 Ir 2.20

---

x.
The following is a DFT calculation (PBE) of an optimized crystal structure of CuPIrCl2.

Results
Calculated volume, Å³/cell: 103
Space group: P4/mmm, No. 123
N(E_F), states/eV/cell: 5.769

Lattice parameters (Å, degrees): 4.2494 4.2494 5.7258 90.00 90.00 90.00
With the nearest neighbours (Å) after each atom.
Fractional positions:
Cl  0.5000  0.0000  0.0000  2 Cu 2.12
Cl  0.0000  0.5000  0.0000  2 Cu 2.12
Ir  0.5000  0.5000  0.5000  4 P 3.00
P  0.0000  0.0000  0.5000  2 Cu 2.86, 4 Ir 3.00
Cu  0.0000  0.0000  0.0000  4 Cl 2.12

---

Which is the most stable structure? w is the most stable.

---

w.
The following is a DFT calculation (PBE) of an optimized crystal structure of CuIrSCl2.

Results
Calculated volume, Å³/cell: 111
Space group: P4/mmm, No. 123
N(E_F), states/eV/cell: 4.402

Lattice parameters (Å, degrees): 5.0067 5.0067 4.4121 90.00 90.00 90.00
With the nearest neighbours (Å) after each atom.
Fractional positions:
Cl  0.5000  0.0000  0.0000  2 Ir 2.50
Cl  0.0000  0.5000  0.0000  2 Ir 2.50
Cu  0.5000  0.5000  0.5000  8 Cl 3.34, 4 S 3.54
S  0.0000  0.0000  0.5000  2 Ir 2.21
Ir  0.0000  0.0000  0.0000  2 S 2.21

---

x.
The following is a DFT calculation (PBE) of an optimized crystal structure of CuIrSCl2.

Results
Calculated volume, Å³/cell: 98
Space group: P4/mmm, No. 123
N(E_F), states/eV/cell: 6.905

Lattice parameters (Å, degrees): 4.3799 4.3799 5.1282 90.00 90.00 90.00
With the nearest neighbours (Å) after each atom.
Fractional positions:
Cl  0.5000  0.0000  0.0000  2 Cu 2.19
Cl  0.0000  0.5000  0.0000  2 Cu 2.19
Cu  0.0000  0.0000  0.0000  4 Cl 2.19
Ir  0.5000  0.5000  0.5000  4 S 3.10, 8 Cl 3.37
S  0.0000  0.0000  0.5000  2 Cu 2.56

---

Which is the most stable structure? w is the most stable.